Entry 1:
Below is a relaxed Ta5Co crystal, with properties calculated at the PBE level.

Summary:
Formation enthalpy at 0 K: 10 kJ/mol of formula units
Total magnetization: 0.20 μB per cell
VASP energy: -11.045 eV per atom

Lattice parameters (Å, degrees): 5.4354 5.4354 16.2810 90.00 90.00 120.00
Space group P6_3/mmc (No. 194)
Symmetry-distinct sites (fractional):
Ta (0.0000, 0.0000, 0.0939) (multiplicity 4)
Ta (0.0000, 0.5000, 0.0000) (multiplicity 6)
Ta (0.1650, 0.3299, 0.2500) (multiplicity 6)
Ta (0.3333, 0.6667, 0.6555) (multiplicity 4)
Co (0.3333, 0.6667, 0.1251) (multiplicity 4)

Entry 2:
Below is a relaxed RbBeBiPt crystal, with properties calculated at the PBE level.

Summary:
Total magnetization: 0.01 μB per cell
VASP energy: -2.917 eV per atom

Lattice parameters (Å, degrees): 7.192 7.192 7.192 90.00 90.00 90.00
Space group F-43m (No. 216)
Symmetry-distinct sites (fractional):
Rb (0.000, 0.000, 0.000) (multiplicity 4)
Be (0.000, 0.000, 0.500) (multiplicity 4)
Bi (0.250, 0.250, 0.750) (multiplicity 4)
Pt (0.250, 0.250, 0.250) (multiplicity 4)

Entry 3:
Below is a relaxed SmTl crystal, with properties calculated at the PBE level.

Summary:
Total magnetization: 0.00 μB per cell
VASP energy: -3.917 eV per atom

Lattice parameters (Å, degrees): 3.598 3.598 4.347 90.00 90.00 90.00
Space group P4/mmm (No. 123)
Symmetry-distinct sites (fractional):
Sm (0.000, 0.000, 0.000) (multiplicity 1)
Tl (0.500, 0.500, 0.500) (multiplicity 1)

Entry 4:
Below is a relaxed NaTlCd crystal, with properties calculated at the PBE level.

Summary:
VASP energy: -1.499 eV per atom

Lattice parameters (Å, degrees): 7.111 7.111 7.111 90.00 90.00 90.00
Space group F-43m (No. 216)
Symmetry-distinct sites (fractional):
Na (0.000, 0.000, 0.000) (multiplicity 4)
Tl (0.250, 0.250, 0.750) (multiplicity 4)
Cd (0.000, 0.000, 0.500) (multiplicity 4)

Entry 5:
Below is a relaxed Ta2Tl3W4C3 crystal, with properties calculated at the PBE level.

Summary:
Total magnetization: 0.00 μB per cell
VASP energy: -8.991 eV per atom

Lattice parameters (Å, degrees): 9.606 5.549 14.455 90.00 102.71 90.00
Space group C2/c (No. 15)
Symmetry-distinct sites (fractional):
Ta (0.059, 0.085, 0.418) (multiplicity 8)
Tl (0.000, 0.426, 0.250) (multiplicity 4)
Tl (0.170, 0.087, 0.749) (multiplicity 8)
W (0.109, 0.422, 0.577) (multiplicity 8)
W (0.222, 0.414, 0.923) (multiplicity 8)
C (0.082, 0.247, 0.000) (multiplicity 8)
C (0.250, 0.250, 0.500) (multiplicity 4)

Entry 6:
Below is a relaxed BaReOsAu crystal, with properties calculated at the PBE level.

Summary:
Total magnetization: 2.89 μB per cell
VASP energy: -5.543 eV per atom

Lattice parameters (Å, degrees): 6.799 6.799 6.799 90.00 90.00 90.00
Space group F-43m (No. 216)
Symmetry-distinct sites (fractional):
Ba (0.000, 0.000, 0.000) (multiplicity 4)
Re (0.250, 0.250, 0.750) (multiplicity 4)
Os (0.250, 0.250, 0.250) (multiplicity 4)
Au (0.000, 0.000, 0.500) (multiplicity 4)

Entry 7:
Below is a relaxed Dy4InC2S crystal, with properties calculated at the PBE level.

Summary:
Total magnetization: 0.33 μB per cell
VASP energy: -6.279 eV per atom

Lattice parameters (Å, degrees): 3.6522 3.6522 14.6484 90.00 90.00 120.00
Space group P-6m2 (No. 187)
Symmetry-distinct sites (fractional):
Dy (0.0000, 0.0000, 0.1285) (multiplicity 2)
Dy (0.6667, 0.3333, 0.3130) (multiplicity 2)
In (0.0000, 0.0000, 0.5000) (multiplicity 1)
C (0.3333, 0.6667, 0.2225) (multiplicity 2)
S (0.6667, 0.3333, 0.0000) (multiplicity 1)

Entry 8:
Below is a relaxed AlFe3Cl crystal, with properties calculated at the PBE level.

Summary:
Total magnetization: 4.61 μB per cell
VASP energy: -5.432 eV per atom

Lattice parameters (Å, degrees): 4.098 4.098 4.098 90.00 90.00 90.00
Space group Pm-3m (No. 221)
Symmetry-distinct sites (fractional):
Al (0.000, 0.000, 0.000) (multiplicity 1)
Fe (0.000, 0.500, 0.500) (multiplicity 3)
Cl (0.500, 0.500, 0.500) (multiplicity 1)

Entry 9:
Below is a relaxed Hf4NiAuC2 crystal, with properties calculated at the PBE level.

Summary:
Total magnetization: 0.05 μB per cell
VASP energy: -9.013 eV per atom

Lattice parameters (Å, degrees): 3.2604 3.2604 13.5283 90.00 90.00 120.00
Space group P-6m2 (No. 187)
Symmetry-distinct sites (fractional):
Hf (0.0000, 0.0000, 0.1407) (multiplicity 2)
Hf (0.3333, 0.6667, 0.3322) (multiplicity 2)
Ni (0.3333, 0.6667, 0.0000) (multiplicity 1)
Au (0.0000, 0.0000, 0.5000) (multiplicity 1)
C (0.6667, 0.3333, 0.2397) (multiplicity 2)

Entry 10:
Below is a relaxed PuReIr crystal, with properties calculated at the PBE level.

Summary:
Formation enthalpy at 0 K: 220 kJ/mol of formula units
Total magnetization: 0.00 μB per cell
VASP energy: -11.041 eV per atom

Lattice parameters (Å, degrees): 6.161 6.161 6.161 90.00 90.00 90.00
Space group F-43m (No. 216)
Symmetry-distinct sites (fractional):
Pu (0.000, 0.000, 0.000) (multiplicity 4)
Re (0.250, 0.250, 0.250) (multiplicity 4)
Ir (0.000, 0.000, 0.500) (multiplicity 4)

Entry 11:
Below is a relaxed CsLiZrS3 crystal, with properties calculated at the PBE level.

Summary:
Total magnetization: 0.01 μB per cell
VASP energy: -5.438 eV per atom

Lattice parameters (Å, degrees): 15.498 3.881 10.357 90.00 90.00 90.00
Space group Pnma (No. 62)
Symmetry-distinct sites (fractional):
Cs (0.232, 0.250, 0.027) (multiplicity 4)
Li (0.015, 0.750, 0.092) (multiplicity 4)
Zr (0.013, 0.250, 0.335) (multiplicity 4)
S (0.071, 0.750, 0.870) (multiplicity 4)
S (0.083, 0.250, 0.569) (multiplicity 4)
S (0.115, 0.750, 0.267) (multiplicity 4)

Entry 12:
Below is a relaxed HgAsNO crystal, with properties calculated at the PBE level.

Summary:
VASP energy: -4.495 eV per atom

Lattice parameters (Å, degrees): 3.070 6.111 6.411 90.00 90.00 90.00
Space group Pmc2_1 (No. 26)
Symmetry-distinct sites (fractional):
Hg (0.000, 0.219, 0.000) (multiplicity 2)
As (0.500, 0.255, 0.500) (multiplicity 2)
N (0.000, 0.135, 0.652) (multiplicity 2)
O (0.500, 0.483, 0.122) (multiplicity 2)

Entry 13:
Below is a relaxed ReBMo4 crystal, with properties calculated at the PBE level.

Summary:
Total magnetization: 0.03 μB per cell
VASP energy: -9.972 eV per atom

Lattice parameters (Å, degrees): 4.0840 4.0840 19.6929 90.00 90.00 120.00
Space group R-3m (No. 166, hexagonal axes)
Symmetry-distinct sites (fractional):
Re (0.0000, 0.0000, 0.0000) (multiplicity 3)
B (0.0000, 0.0000, 0.5000) (multiplicity 3)
Mo (0.0000, 0.0000, 0.1370) (multiplicity 6)
Mo (0.0000, 0.0000, 0.3863) (multiplicity 6)

Entry 14:
Below is a relaxed Na3NbO4 crystal, with properties calculated at the PBE level.

Summary:
Total magnetization: 0.00 μB per cell
VASP energy: -6.383 eV per atom

Lattice parameters (Å, degrees): 5.730 6.537 5.444 90.00 109.58 90.00
Space group P2/c (No. 13)
Symmetry-distinct sites (fractional):
Na (0.000, 0.110, 0.250) (multiplicity 2)
Na (0.000, 0.379, 0.750) (multiplicity 2)
Na (0.500, 0.124, 0.750) (multiplicity 2)
Nb (0.500, 0.355, 0.250) (multiplicity 2)
O (0.272, 0.160, 0.037) (multiplicity 4)
O (0.298, 0.397, 0.490) (multiplicity 4)

Entry 15:
Below is a relaxed Dy2TmGe3PdPt2 crystal, with properties calculated at the PBE level.

Summary:
Total magnetization: 0.00 μB per cell
VASP energy: -6.005 eV per atom

Lattice parameters (Å, degrees): 3.899 12.478 7.234 90.00 90.00 90.00
Space group Amm2 (No. 38)
Symmetry-distinct sites (fractional):
Dy (0.000, 0.203, 0.000) (multiplicity 4)
Tm (0.000, 0.000, 0.391) (multiplicity 2)
Ge (0.500, 0.000, 0.053) (multiplicity 2)
Ge (0.500, 0.128, 0.668) (multiplicity 4)
Pd (0.000, 0.000, 0.794) (multiplicity 2)
Pt (0.500, 0.165, 0.298) (multiplicity 4)

Entry 16:
Below is a relaxed Np3F2 crystal, with properties calculated at the PBE level.

Summary:
Total magnetization: 76.00 μB per cell
VASP energy: -9.482 eV per atom

Lattice parameters (Å, degrees): 6.4213 6.4213 15.4310 90.00 90.00 120.00
Space group R-3c (No. 167, hexagonal axes)
Symmetry-distinct sites (fractional):
Np (0.0000, 0.3538, 0.2500) (multiplicity 18)
F (0.0000, 0.0000, 0.1688) (multiplicity 12)

Entry 17:
Below is a relaxed ZrNbOs crystal, with properties calculated at the PBE level.

Summary:
Formation enthalpy at 0 K: 1 kJ/mol of formula units
Total magnetization: 0.02 μB per cell
VASP energy: -9.953 eV per atom

Lattice parameters (Å, degrees): 6.317 6.317 6.317 90.00 90.00 90.00
Space group F-43m (No. 216)
Symmetry-distinct sites (fractional):
Zr (0.000, 0.000, 0.000) (multiplicity 4)
Nb (0.000, 0.000, 0.500) (multiplicity 4)
Os (0.250, 0.250, 0.750) (multiplicity 4)

Entry 18:
Below is a relaxed Ho4SiPt3 crystal, with properties calculated at the PBE level.

Summary:
Total magnetization: 0.00 μB per cell
VASP energy: -6.389 eV per atom

Lattice parameters (Å, degrees): 5.644 4.304 7.271 90.00 90.11 90.00
Space group Pm (No. 6)
Symmetry-distinct sites (fractional):
Ho (0.000, 0.000, 0.000) (multiplicity 1)
Ho (0.224, 0.000, 0.506) (multiplicity 1)
Ho (0.491, 0.500, 0.870) (multiplicity 1)
Ho (0.726, 0.500, 0.360) (multiplicity 1)
Si (0.721, 0.000, 0.644) (multiplicity 1)
Pt (0.204, 0.500, 0.229) (multiplicity 1)
Pt (0.516, 0.000, 0.138) (multiplicity 1)
Pt (0.993, 0.500, 0.719) (multiplicity 1)

Entry 19:
Below is a relaxed Cs2Rb2HgSb2 crystal, with properties calculated at the PBE level.

Summary:
VASP energy: -2.191 eV per atom

Lattice parameters (Å, degrees): 6.4776 6.4776 30.5457 90.00 90.00 120.00
Space group R-3m (No. 166, hexagonal axes)
Symmetry-distinct sites (fractional):
Cs (0.0000, 0.0000, 0.1193) (multiplicity 6)
Rb (0.0000, 0.0000, 0.2920) (multiplicity 6)
Hg (0.0000, 0.0000, 0.5000) (multiplicity 3)
Sb (0.0000, 0.0000, 0.4114) (multiplicity 6)

Entry 20:
Below is a relaxed Ta2TcB2 crystal, with properties calculated at the PBE level.

Summary:
Total magnetization: 0.00 μB per cell
VASP energy: -10.207 eV per atom

Lattice parameters (Å, degrees): 6.027 6.027 3.300 90.00 90.00 90.00
Space group P4/mbm (No. 127)
Symmetry-distinct sites (fractional):
Ta (0.175, 0.325, 0.000) (multiplicity 4)
Tc (0.000, 0.000, 0.500) (multiplicity 2)
B (0.111, 0.611, 0.500) (multiplicity 4)

Entry 21:
Below is a relaxed Cu5Ag4 crystal, with properties calculated at the PBE level.

Summary:
Formation enthalpy at 0 K: 83 kJ/mol of formula units
VASP energy: -3.225 eV per atom

Lattice parameters (Å, degrees): 9.170 2.774 11.228 90.00 114.03 90.00
Space group C2/m (No. 12)
Symmetry-distinct sites (fractional):
Cu (0.000, 0.000, 0.000) (multiplicity 2)
Cu (0.014, 0.000, 0.333) (multiplicity 4)
Cu (0.151, 0.500, 0.212) (multiplicity 4)
Ag (0.166, 0.500, 0.880) (multiplicity 4)
Ag (0.167, 0.500, 0.568) (multiplicity 4)

Entry 22:
Below is a relaxed La2Cu2Cl crystal, with properties calculated at the PBE level.

Summary:
Total magnetization: 0.03 μB per cell
VASP energy: -4.580 eV per atom

Lattice parameters (Å, degrees): 4.1703 4.1703 8.1103 90.00 90.00 120.00
Space group P-6m2 (No. 187)
Symmetry-distinct sites (fractional):
La (0.0000, 0.0000, 0.2323) (multiplicity 2)
Cu (0.3333, 0.6667, 0.0000) (multiplicity 1)
Cu (0.6667, 0.3333, 0.0000) (multiplicity 1)
Cl (0.6667, 0.3333, 0.5000) (multiplicity 1)

Entry 23:
Below is a relaxed Ni3Ir crystal, with properties calculated at the PBE level.

Summary:
Formation enthalpy at 0 K: 47 kJ/mol of formula units
Total magnetization: 1.89 μB per cell
VASP energy: -6.269 eV per atom

Lattice parameters (Å, degrees): 4.244 4.244 2.661 90.00 90.00 90.00
Space group P4/mmm (No. 123)
Symmetry-distinct sites (fractional):
Ni (0.000, 0.000, 0.000) (multiplicity 1)
Ni (0.000, 0.500, 0.500) (multiplicity 2)
Ir (0.500, 0.500, 0.000) (multiplicity 1)

Entry 24:
Below is a relaxed TcBi2 crystal, with properties calculated at the PBE level.

Summary:
Total magnetization: 2.95 μB per cell
VASP energy: -5.803 eV per atom

Lattice parameters (Å, degrees): 6.844 6.844 5.946 90.00 90.00 90.00
Space group I4/mcm (No. 140)
Symmetry-distinct sites (fractional):
Tc (0.000, 0.000, 0.250) (multiplicity 4)
Bi (0.162, 0.338, 0.000) (multiplicity 8)

| no. | ρ (g/cm³) |
| --- | --- |
| 1 | 15.37 |
| 2 | 8.90 |
| 3 | 10.47 |
| 4 | 6.28 |
| 5 | 15.43 |
| 6 | 15.02 |
| 7 | 8.06 |
| 8 | 5.55 |
| 9 | 13.25 |
| 10 | 17.68 |
| 11 | 3.49 |
| 12 | 8.44 |
| 13 | 10.17 |
| 14 | 3.90 |
| 15 | 11.40 |
| 16 | 13.54 |
| 17 | 9.87 |
| 18 | 11.97 |
| 19 | 3.95 |
| 20 | 13.34 |
| 21 | 9.54 |
| 22 | 5.99 |
| 23 | 12.76 |
| 24 | 12.30 |